1.
A plane-wave DFT calculation with PBE-GGA was carried out for crystalline Ho8AlCo2 at its relaxed geometry.

```
Ho8AlCo2
1.0
5.227 -0.052 -0.077
-0.935 7.725 -0.107
-0.935 -3.074 7.088
Ho Co Al
8 2 1
direct
0.073 0.066 0.327 Ho
0.927 0.673 0.934 Ho
0.500 0.248 0.752 Ho
0.927 0.934 0.673 Ho
0.695 0.382 0.382 Ho
0.305 0.618 0.618 Ho
0.073 0.327 0.066 Ho
0.500 0.752 0.248 Ho
0.000 0.309 0.691 Co
0.000 0.691 0.309 Co
0.500 0.000 0.000 Al
```

Computed properties:
As for the symmetry: C2/m (12). The magnetic moment is 0.00 μB/f.u. Its formation energy is -0.100 eV per atom.

2.
A plane-wave DFT calculation with PBE-GGA was carried out for crystalline ZrNi2Ir at its relaxed geometry.

```
ZrNi2Ir
1.0
-0.374 2.983 0.362
-2.948 -0.142 -1.884
-2.894 -0.920 4.598
Ir Ni Zr
1 2 1
direct
0.500 0.500 0.769 Ir
0.000 0.000 0.014 Ni
0.500 0.500 0.223 Ni
0.000 0.000 0.494 Zr
```

Computed properties:
As for the symmetry: Pmm2 (25). The magnetic moment is 0.47 μB/f.u. Its formation energy is -0.315 eV per atom.

3.
A plane-wave DFT calculation with PBE-GGA was carried out for crystalline CoWAu2 at its relaxed geometry.

```
CoWAu2
1.0
-0.862 -4.039 -0.174
3.598 -0.709 -1.377
1.316 -0.438 3.663
Au Co W
2 1 1
direct
0.000 0.000 0.000 Au
0.000 0.500 0.500 Au
0.500 0.500 0.000 Co
0.500 0.000 0.500 W
```

Computed properties:
As for the symmetry: P4/mmm (123). The magnetic moment is 3.12 μB/f.u. Its formation energy is 0.593 eV per atom.